Record 1
Density functional theory data (PBE) for a relaxed CaTa4Sb crystal.

## Properties
DOS(E_F) = 8.832 states/eV per cell
energy relative to the elements, uncorrected = 464 meV per atom

The structure in POSCAR format:
```
CaTa4Sb
1.0
3.128 -3.202 -3.509
-0.438 -5.668 0.172
-2.492 -2.791 -4.284
Ca Ta Sb
1 4 1
Direct
0.750 0.750 0.750
0.865 0.378 0.378
0.378 0.378 0.865
0.378 0.865 0.378
0.378 0.378 0.378
0.000 0.000 0.000
```


Record 2
Density functional theory data (PBE) for a relaxed Nd4Ge2Br3 crystal.

## Properties
DOS(E_F) = 2.841 states/eV per cell
energy relative to the elements, uncorrected = -1327 meV per atom

The structure in POSCAR format:
```
Nd4Ge2Br3
1.0
4.299 0.000 0.000
-2.149 3.722 0.123
0.000 -0.501 17.918
Nd Ge Br
4 2 3
Direct
0.665 0.331 0.115
0.003 0.007 0.704
0.997 0.993 0.296
0.335 0.669 0.885
0.331 0.662 0.202
0.669 0.338 0.798
0.338 0.676 0.604
0.000 0.000 0.000
0.662 0.324 0.396
```


Record 3
Density functional theory data (PBE) for a relaxed Ba3HgS crystal.

## Properties
DOS(E_F) = 7.211 states/eV per cell
energy relative to the elements, uncorrected = -825 meV per atom
energy relative to the lowest polymorph listed for this composition = 0.0 meV per atom

The structure in POSCAR format:
```
Ba3HgS
1.0
-0.110 5.913 -1.547
-3.283 -1.363 -4.974
-5.156 0.742 3.200
S Hg Ba
1 1 3
Direct
0.000 0.000 0.000
0.500 0.500 0.500
0.000 0.500 0.000
0.000 0.000 0.500
0.500 0.000 0.000
```


Record 4
Density functional theory data (PBE) for a relaxed ThTa2WC4 crystal.

## Properties
E = -165.78 eV for the cell shown
DOS(E_F) = 6.363 states/eV per cell

The structure in POSCAR format:
```
ThTa2WC4
1.0
3.309 0.000 0.000
-1.654 5.829 0.000
0.000 0.000 11.223
Th Ta W C
2 4 2 8
Direct
0.105 0.210 0.750
0.895 0.790 0.250
0.373 0.747 0.537
0.627 0.253 0.037
0.627 0.253 0.463
0.373 0.747 0.963
0.841 0.682 0.750
0.159 0.318 0.250
0.264 0.528 0.110
0.736 0.472 0.610
0.736 0.472 0.890
0.264 0.528 0.390
0.000 0.000 0.500
0.000 0.000 0.000
0.443 0.886 0.750
0.557 0.114 0.250
```


Record 5
Density functional theory data (PBE) for a relaxed La4CrAg crystal.

## Properties
E = -28.32 eV for the cell shown
DOS(E_F) = 9.284 states/eV per cell

The structure in POSCAR format:
```
La4CrAg
1.0
-0.020 3.273 5.559
2.246 6.044 0.192
-4.077 4.931 0.825
La Cr Ag
4 1 1
Direct
0.877 0.374 0.374
0.374 0.374 0.877
0.374 0.877 0.374
0.374 0.374 0.374
0.000 0.000 0.000
0.750 0.750 0.750
```


Record 6
Density functional theory data (PBE) for a relaxed Ac2Al3Cu5 crystal.

## Properties
E = -85.14 eV for the cell shown
DOS(E_F) = 13.730 states/eV per cell

The structure in POSCAR format:
```
Ac2Al3Cu5
1.0
-2.350 5.281 2.235
-8.597 -0.087 -0.244
-2.743 -1.008 8.089
Ac Al Cu
4 6 10
Direct
0.127 0.607 0.138
0.627 0.138 0.607
0.873 0.393 0.862
0.373 0.862 0.393
0.365 0.529 0.740
0.865 0.740 0.529
0.635 0.471 0.260
0.135 0.260 0.471
0.250 0.000 0.000
0.750 0.000 0.000
0.387 0.258 0.969
0.887 0.969 0.258
0.613 0.742 0.031
0.113 0.031 0.742
0.474 0.776 0.776
0.526 0.224 0.224
0.750 0.500 0.500
0.250 0.500 0.500
0.026 0.224 0.224
0.974 0.776 0.776
```


Record 7
Density functional theory data (PBE) for a relaxed LaAg2Pb crystal.

## Properties
E = -15.15 eV for the cell shown
DOS(E_F) = 3.090 states/eV per cell

The structure in POSCAR format:
```
LaAg2Pb
1.0
-0.445 4.761 0.495
-0.282 -0.522 4.770
4.434 0.383 0.304
Pb Ag La
1 2 1
Direct
0.000 0.500 0.500
0.000 0.000 0.000
0.500 0.500 0.000
0.500 0.000 0.500
```


Record 8
Density functional theory data (PBE) for a relaxed SbPOs2 crystal.

## Properties
DOS(E_F) = 2.573 states/eV per cell
energy relative to the elements, uncorrected = 558 meV per atom
energy relative to the lowest polymorph listed for this composition = 462.7 meV per atom

The structure in POSCAR format:
```
SbPOs2
1.0
0.000 3.147 3.147
3.147 0.000 3.147
3.147 3.147 0.000
Sb Os P
1 2 1
Direct
0.500 0.500 0.500
0.250 0.250 0.250
0.750 0.750 0.750
0.000 0.000 0.000
```


Q: Look up the DOS(E_F) of the sixth one.
A: 13.730 states/eV per cell


Q: DOS(E_F) of number 7 (LaAg2Pb)?
A: 3.090 states/eV per cell


Q: Look up the DOS(E_F) of the second one.
A: 2.841 states/eV per cell


Q: Which formula does entry 7 have?
A: LaAg2Pb